Entry 1:
Below is an optimized crystal structure of Ac3Mg7Al4, with properties calculated at the PBE-GGA level.

Cell lengths 17.804, 4.849, 10.504 Å; angles 90.00, 125.55, 90.00 degrees
Space group C2/m (No. 12)
Symmetry-distinct sites (fractional):
Ac (0.000, 0.000, 0.000) (multiplicity 2)
Ac (0.202, 0.500, 0.709) (multiplicity 4)
Mg (0.000, 0.000, 0.500) (multiplicity 2)
Mg (0.004, 0.500, 0.304) (multiplicity 4)
Mg (0.157, 0.000, 0.426) (multiplicity 4)
Mg (0.169, 0.500, 0.018) (multiplicity 4)
Al (0.129, 0.000, 0.846) (multiplicity 4)
Al (0.154, 0.500, 0.274) (multiplicity 4)

energy of formation = -190 meV per atom

***

Entry 2:
Below is an optimized crystal structure of InPRuW2, with properties calculated at the PBE-GGA level.

Cell lengths 4.745, 4.745, 4.963 Å; angles 90.00, 90.00, 90.00 degrees
Space group P4/mmm (No. 123)
Symmetry-distinct sites (fractional):
In (0.000, 0.000, 0.000) (multiplicity 1)
P (0.500, 0.500, 0.000) (multiplicity 1)
Ru (0.000, 0.000, 0.500) (multiplicity 1)
W (0.000, 0.500, 0.500) (multiplicity 2)

energy of formation = 1691 meV per atom

***

Entry 3:
Below is an optimized crystal structure of LiPaCdAu, with properties calculated at the PBE-GGA level.

Cell lengths 7.027, 7.027, 7.027 Å; angles 90.00, 90.00, 90.00 degrees
Space group F-43m (No. 216)
Symmetry-distinct sites (fractional):
Li (0.000, 0.000, 0.000) (multiplicity 4)
Pa (0.000, 0.000, 0.500) (multiplicity 4)
Cd (0.250, 0.250, 0.750) (multiplicity 4)
Au (0.250, 0.250, 0.250) (multiplicity 4)

energy of formation = -63 meV per atom

***

Entry 4:
Below is an optimized crystal structure of Ho6Cu5Pd, with properties calculated at the PBE-GGA level.

Cell lengths 4.893, 14.718, 6.911 Å; angles 90.00, 90.00, 90.00 degrees
Space group Cmmm (No. 65)
Symmetry-distinct sites (fractional):
Ho (0.000, 0.000, 0.249) (multiplicity 4)
Ho (0.000, 0.333, 0.249) (multiplicity 8)
Cu (0.000, 0.165, 0.000) (multiplicity 4)
Cu (0.000, 0.169, 0.500) (multiplicity 4)
Cu (0.000, 0.500, 0.000) (multiplicity 2)
Pd (0.000, 0.500, 0.500) (multiplicity 2)

energy of formation = -376 meV per atom

***

Entry 5:
Below is an optimized crystal structure of Zr3NiAu, with properties calculated at the PBE-GGA level.

Cell lengths 4.819, 4.819, 4.819 Å; angles 90.00, 90.00, 90.00 degrees
Space group Pm-3m (No. 221)
Symmetry-distinct sites (fractional):
Zr (0.000, 0.000, 0.500) (multiplicity 3)
Ni (0.000, 0.000, 0.000) (multiplicity 1)
Au (0.500, 0.500, 0.500) (multiplicity 1)

energy of formation = 153 meV per atom

***

Entry 6:
Below is an optimized crystal structure of ErNpSbO6, with properties calculated at the PBE-GGA level.

Cell lengths 5.7327, 5.7327, 9.3558 Å; angles 90.00, 90.00, 120.00 degrees
Space group P-31c (No. 163)
Symmetry-distinct sites (fractional):
Er (0.3333, 0.6667, 0.2500) (multiplicity 2)
Np (0.3333, 0.6667, 0.7500) (multiplicity 2)
Sb (0.0000, 0.0000, 0.0000) (multiplicity 2)
O (0.0227, 0.3570, 0.6331) (multiplicity 12)

ΔE_f (raw) = -2.51 eV/atom

***

Entry 7:
Below is an optimized crystal structure of SrZn2Cd8, with properties calculated at the PBE-GGA level.

Cell lengths 6.184, 6.184, 8.799 Å; angles 90.00, 90.00, 90.00 degrees
Space group P4/mmm (No. 123)
Symmetry-distinct sites (fractional):
Sr (0.000, 0.000, 0.000) (multiplicity 1)
Zn (0.000, 0.500, 0.500) (multiplicity 2)
Cd (0.254, 0.254, 0.300) (multiplicity 8)

energy of formation = 118 meV per atom

***

Entry 8:
Below is an optimized crystal structure of Ba2LiRh, with properties calculated at the PBE-GGA level.

Cell lengths 7.850, 4.527, 8.551 Å; angles 90.00, 107.53, 90.00 degrees
Space group Cm (No. 8)
Symmetry-distinct sites (fractional):
Ba (0.000, 0.000, 0.000) (multiplicity 2)
Ba (0.165, 0.000, 0.501) (multiplicity 2)
Li (0.249, 0.500, 0.250) (multiplicity 2)
Rh (0.416, 0.000, 0.250) (multiplicity 2)

energy of formation = -156 meV per atom

***

Entry 9:
Below is an optimized crystal structure of Na2CaTlH, with properties calculated at the PBE-GGA level.

Cell lengths 4.995, 4.995, 4.686 Å; angles 90.00, 90.00, 90.00 degrees
Space group P4/mmm (No. 123)
Symmetry-distinct sites (fractional):
Na (0.000, 0.500, 0.000) (multiplicity 2)
Ca (0.000, 0.000, 0.500) (multiplicity 1)
Tl (0.500, 0.500, 0.500) (multiplicity 1)
H (0.000, 0.000, 0.000) (multiplicity 1)

electronic total energy = -2.26 eV/atom

***

Entry 10:
Below is an optimized crystal structure of Mg2InAu, with properties calculated at the PBE-GGA level.

Cell lengths 3.339, 3.339, 7.484 Å; angles 90.00, 90.00, 90.00 degrees
Space group P4/mmm (No. 123)
Symmetry-distinct sites (fractional):
Mg (0.000, 0.000, 0.211) (multiplicity 2)
In (0.500, 0.500, 0.500) (multiplicity 1)
Au (0.500, 0.500, 0.000) (multiplicity 1)

energy of formation = -342 meV per atom

***

Entry 11:
Below is an optimized crystal structure of HgBiPb2, with properties calculated at the PBE-GGA level.

Cell lengths 5.681, 7.418, 5.833 Å; angles 90.00, 90.00, 90.00 degrees
Space group Pmmn (No. 59, origin choice 2)
Symmetry-distinct sites (fractional):
Hg (0.250, 0.250, 0.248) (multiplicity 2)
Bi (0.250, 0.750, 0.248) (multiplicity 2)
Pb (0.250, 0.506, 0.748) (multiplicity 4)

energy of formation = 18 meV per atom

***

Entry 12:
Below is an optimized crystal structure of Na4In3Br8, with properties calculated at the PBE-GGA level.

Cell lengths 12.255, 12.302, 8.706 Å; angles 90.00, 133.52, 90.00 degrees
Space group C2/m (No. 12)
Symmetry-distinct sites (fractional):
Na (0.000, 0.000, 0.000) (multiplicity 2)
Na (0.000, 0.000, 0.500) (multiplicity 2)
Na (0.250, 0.250, 0.000) (multiplicity 4)
In (0.000, 0.500, 0.000) (multiplicity 2)
In (0.250, 0.250, 0.500) (multiplicity 4)
Br (0.000, 0.238, 0.000) (multiplicity 4)
Br (0.000, 0.248, 0.500) (multiplicity 4)
Br (0.223, 0.000, 0.968) (multiplicity 4)
Br (0.237, 0.000, 0.480) (multiplicity 4)

ΔE_f (raw) = -1.12 eV/atom

***

Computed total magnetization, in the same sequence as the records: 0.0, 1.8, 0.0, 0.0, 0.0, 1.0, 0.0, 0.0, 0.0, 0.0, 0.0, 0.0 μB per formula unit.
Computed density of states at the Fermi level, in the same sequence as the records: 13.71, 4.24, 21.15, 11.56, 9.27, 0.81, 6.74, 3.32, 1.81, 1.55, 2.84, 8.14 states/eV per cell.